Below is Tb2SeBr3 after structural relaxation, with properties calculated at the PBE level.

Cell lengths 9.110, 9.110, 12.734 Å; angles 124.73, 124.73, 26.32 degrees
Fractional positions:
Tb  0.105  0.105  0.440
Tb  0.373  0.373  0.170
Tb  0.627  0.627  0.830
Tb  0.895  0.895  0.560
Se  0.093  0.093  0.664
Se  0.907  0.907  0.336
Br  0.170  0.170  0.028
Br  0.261  0.261  0.394
Br  0.445  0.445  0.761
Br  0.555  0.555  0.239
Br  0.739  0.739  0.606
Br  0.830  0.830  0.972

Calculated values
DOS(E_F): 4.9 states/eV/cell
Space-group type: C2/m
ΔE_f (raw): -10.26 eV per formula unit
Calculated total energy: -56.04 eV/cell
Calculated volume: 379.9 Å³/cell

***

Below is Tb3Se3Br after structural relaxation, with properties calculated at the PBE level.

Cell lengths 7.617, 7.617, 7.617 Å; angles 69.71, 69.71, 69.71 degrees
Fractional positions:
Tb  0.085  0.716  0.439
Tb  0.284  0.561  0.915
Tb  0.439  0.085  0.716
Tb  0.561  0.915  0.284
Tb  0.716  0.439  0.085
Tb  0.915  0.284  0.561
Se  0.090  0.380  0.793
Se  0.207  0.910  0.620
Se  0.380  0.793  0.090
Se  0.620  0.207  0.910
Se  0.793  0.090  0.380
Se  0.910  0.620  0.207
Br  0.326  0.326  0.326
Br  0.674  0.674  0.674

Calculated values
DOS(E_F): 4.4 states/eV/cell
Space-group type: R-3
ΔE_f (raw): -11.77 eV per formula unit
Calculated total energy: -75.57 eV/cell
Calculated volume: 375.6 Å³/cell